Computed, not measured: Pm2Sm4Dy after structural relaxation at the PBE level of DFT.

Lattice parameters (Å, degrees): 3.617 8.115 9.576 115.06 67.86 102.91
Fractional coordinates of all 7 atoms:
Pm 0.571 0.427 0.142
Sm 0.856 0.142 0.715
Dy 0.000 0.000 0.000
Sm 0.286 0.715 0.572
Sm 0.144 0.858 0.285
Pm 0.429 0.573 0.858
Sm 0.714 0.285 0.428

Properties
final energy: -4.698 eV/atom
theoretical density: 7.44 g/cm3
D(E_F): 9.20 states/eV/cell
total magnetic moment: 0.00 μB per formula unit

Computed, not measured: TlP2Br after structural relaxation at the PBE level of DFT.

Lattice parameters (Å, degrees): 5.511 3.382 5.884 90.00 103.89 90.00
Fractional coordinates of all 4 atoms:
Tl 0.982 0.500 0.130
P 0.794 0.500 0.596
Br 0.442 0.000 0.997
P 0.529 0.000 0.543

Properties
E_form (uncorrected): -0.095 eV per atom
final energy: -3.810 eV/atom
theoretical density: 5.40 g/cm3
D(E_F): 0.38 states/eV/cell
total magnetic moment: 0.00 μB per formula unit

Computed, not measured: ScAs2Ir after structural relaxation at the PBE level of DFT.

Lattice parameters (Å, degrees): 3.927 3.927 5.869 70.35 70.35 60.13
Fractional coordinates of all 4 atoms:
As 0.988 0.988 0.036
Sc 0.750 0.750 0.750
As 0.512 0.512 0.464
Ir 0.250 0.250 0.250

Properties
final energy: -6.779 eV/atom
theoretical density: 8.89 g/cm3
D(E_F): 0.98 states/eV/cell
total magnetic moment: 0.00 μB per formula unit

Computed, not measured: Ba2MgZn4Hg3 after structural relaxation at the PBE level of DFT.

Lattice parameters (Å, degrees): 4.599 4.599 12.225 90.00 90.00 90.00
Fractional coordinates of all 10 atoms:
Mg 0.500 0.500 0.500
Zn 0.500 0.000 0.639
Zn 0.000 0.500 0.361
Ba 0.000 0.500 0.755
Hg 0.500 0.000 0.869
Zn 0.000 0.000 0.000
Ba 0.500 0.000 0.245
Zn 0.500 0.500 0.000
Hg 0.000 0.500 0.131
Hg 0.000 0.000 0.500

Properties
final energy: -1.405 eV/atom
theoretical density: 7.47 g/cm3
D(E_F): 6.39 states/eV/cell
total magnetic moment: 0.00 μB per formula unit

Computed, not measured: Er4Te3As after structural relaxation at the PBE level of DFT.

Lattice parameters (Å, degrees): 4.225 7.426 7.426 108.99 90.00 90.00
Fractional coordinates of all 8 atoms:
Te 0.000 0.500 0.000
Er 0.500 0.232 0.768
As 0.500 0.000 0.000
Er 0.500 0.768 0.232
Er 0.000 0.779 0.779
Te 0.000 0.000 0.500
Te 0.500 0.500 0.500
Er 0.000 0.221 0.221

Properties
E_form (uncorrected): -1.341 eV per atom
final energy: -5.381 eV/atom
theoretical density: 8.49 g/cm3
D(E_F): 3.20 states/eV/cell
total magnetic moment: 0.00 μB per formula unit

Computed, not measured: V3Au after structural relaxation at the PBE level of DFT.

Lattice parameters (Å, degrees): 3.827 3.827 4.819 113.39 113.39 90.00
Fractional coordinates of all 4 atoms:
V 0.750 0.250 0.500
Au 0.000 0.000 0.000
V 0.250 0.750 0.500
V 0.500 0.500 0.000

Properties
final energy: -7.585 eV/atom
theoretical density: 9.95 g/cm3
D(E_F): 6.05 states/eV/cell
total magnetic moment: 0.00 μB per formula unit

Computed, not measured: La2PmPr4 after structural relaxation at the PBE level of DFT.

Lattice parameters (Å, degrees): 7.144 10.756 7.157 90.00 106.93 90.00
Fractional coordinates of all 14 atoms:
Pr 0.731 0.219 0.188
Pr 0.726 0.712 0.689
La 0.000 0.000 0.000
Pm 0.500 0.500 0.000
La 0.000 0.500 0.500
La 0.000 0.000 0.500
Pr 0.269 0.781 0.812
Pm 0.000 0.500 0.000
La 0.500 0.000 0.500
Pr 0.272 0.713 0.311
Pr 0.274 0.288 0.311
Pr 0.728 0.287 0.689
Pr 0.730 0.782 0.187
Pr 0.270 0.218 0.813

Properties
final energy: -4.644 eV/atom
theoretical density: 6.23 g/cm3
D(E_F): 21.96 states/eV/cell
total magnetic moment: 0.00 μB per formula unit

Computed, not measured: ScHPd3 after structural relaxation at the PBE level of DFT.

Lattice parameters (Å, degrees): 7.536 7.536 7.536 60.00 60.00 60.00
Fractional coordinates of all 20 atoms:
Pd 0.445 0.445 0.055
Pd 0.805 0.805 0.195
Pd 0.195 0.805 0.805
Pd 0.055 0.055 0.445
H 0.625 0.125 0.125
Pd 0.195 0.805 0.195
Pd 0.445 0.055 0.055
H 0.125 0.125 0.625
Pd 0.445 0.055 0.445
Pd 0.195 0.195 0.805
Pd 0.805 0.195 0.195
Sc 0.625 0.625 0.125
H 0.125 0.125 0.125
Pd 0.055 0.445 0.055
Sc 0.625 0.625 0.625
Sc 0.625 0.125 0.625
Pd 0.055 0.445 0.445
Pd 0.805 0.195 0.805
Sc 0.125 0.625 0.625
H 0.125 0.625 0.125

Properties
final energy: -5.443 eV/atom
theoretical density: 8.02 g/cm3
D(E_F): 10.17 states/eV/cell
total magnetic moment: 0.00 μB per formula unit

Computed, not measured: LiCo2Mo after structural relaxation at the PBE level of DFT.

Lattice parameters (Å, degrees): 8.987 8.987 8.987 16.74 16.74 16.74
Last column: magnetic moment on the atom in μB.
Fractional coordinates of all 4 atoms:
Co 0.255 0.255 0.255  1.53
Mo 0.743 0.743 0.743  -0.21
Co 0.995 0.995 0.995  1.22
Li 0.507 0.507 0.507  -0.03

Properties
final energy: -6.477 eV/atom
theoretical density: 6.98 g/cm3
D(E_F): 4.70 states/eV/cell
total magnetic moment: 2.37 μB per formula unit

Computed, not measured: TaTc2NiB after structural relaxation at the PBE level of DFT.

Lattice parameters (Å, degrees): 4.172 4.172 3.776 90.00 90.00 90.00
Fractional coordinates of all 5 atoms:
Ta 0.500 0.500 0.500
Tc 0.000 0.500 0.000
Ni 0.000 0.000 0.500
B 0.000 0.000 0.000
Tc 0.500 0.000 0.000

Properties
final energy: -9.242 eV/atom
theoretical density: 11.28 g/cm3
D(E_F): 1.86 states/eV/cell
total magnetic moment: 0.00 μB per formula unit

Computed, not measured: TbTl6 after structural relaxation at the PBE level of DFT.

Lattice parameters (Å, degrees): 7.251 7.251 7.251 109.47 109.47 109.47
Fractional coordinates of all 7 atoms:
Tb 0.000 0.000 0.000
Tl 0.750 0.500 0.250
Tl 0.250 0.750 0.500
Tl 0.500 0.250 0.750
Tl 0.500 0.750 0.250
Tl 0.750 0.250 0.500
Tl 0.250 0.500 0.750

Properties
final energy: -2.112 eV/atom
theoretical density: 7.84 g/cm3
D(E_F): 6.34 states/eV/cell
total magnetic moment: 0.00 μB per formula unit

Computed, not measured: Pr4Nd8Ho after structural relaxation at the PBE level of DFT.

Lattice parameters (Å, degrees): 11.913 11.913 7.925 90.00 138.73 120.00
Fractional coordinates of all 13 atoms:
Pr 0.500 0.500 0.000
Nd 0.333 0.166 0.001
Pr 0.500 0.000 0.000
Ho 0.000 0.500 0.500
Nd 0.835 0.669 0.001
Nd 0.835 0.166 0.001
Nd 0.165 0.834 0.999
Nd 0.165 0.331 0.999
Nd 0.484 0.242 0.726
Pr 0.000 0.500 0.000
Nd 0.667 0.834 0.999
Pr 0.000 0.000 0.000
Nd 0.516 0.758 0.274

Properties
final energy: -4.369 eV/atom
theoretical density: 6.46 g/cm3
D(E_F): 27.54 states/eV/cell
total magnetic moment: 0.00 μB per formula unit